Below is crystalline PuZnCd at its relaxed geometry, with properties calculated at the PBE level.

volume = 20.50 A^3/atom
formation energy from the elements = 0.104 eV per atom

```
data_PuZnCd
_cell_length_a 2.9677
_cell_length_b 2.9677
_cell_length_c 8.0623
_cell_angle_alpha 90.00
_cell_angle_beta 90.00
_cell_angle_gamma 120.00
_symmetry_space_group_name_H-M 'P 3 m 1'
_symmetry_Int_Tables_number 156
loop_
_symmetry_equiv_pos_as_xyz
'x,y,z'
'-y,x-y,z'
'-x+y,-x,z'
'-y,-x,z'
'-x+y,y,z'
'x,x-y,z'
loop_
_atom_site_label
_atom_site_type_symbol
_atom_site_fract_x
_atom_site_fract_y
_atom_site_fract_z
Pu1 Pu 0.0000 0.0000 0.0000
Zn1 Zn 0.6667 0.3333 0.3260
Cd1 Cd 0.3333 0.6667 0.6367
```

Below is crystalline PuZnCd2 at its relaxed geometry, with properties calculated at the PBE level.

ΔE to the lowest computed polymorph = 89 meV per atom
volume = 21.80 A^3/atom
formation energy from the elements = 0.083 eV per atom

```
data_PuZnCd2
_cell_length_a 3.0911
_cell_length_b 3.0911
_cell_length_c 31.6072
_cell_angle_alpha 90.00
_cell_angle_beta 90.00
_cell_angle_gamma 120.00
_symmetry_space_group_name_H-M 'R 3 m'
_symmetry_Int_Tables_number 160
_symmetry_space_group_name_Hall 'R 3 -2"'
loop_
_atom_site_label
_atom_site_type_symbol
_atom_site_fract_x
_atom_site_fract_y
_atom_site_fract_z
Pu1 Pu 0.0000 0.0000 0.0000
Zn1 Zn 0.0000 0.0000 0.8335
Cd1 Cd 0.0000 0.0000 0.2432
Cd2 Cd 0.0000 0.0000 0.4239
```

Below is crystalline PuZn17Cd at its relaxed geometry, with properties calculated at the PBE level.

volume = 16.42 A^3/atom
formation energy from the elements = -0.051 eV per atom

```
data_PuZn17Cd
_cell_length_a 8.9875
_cell_length_b 8.9875
_cell_length_c 13.3761
_cell_angle_alpha 90.00
_cell_angle_beta 90.00
_cell_angle_gamma 120.00
_symmetry_space_group_name_H-M 'R 3 m'
_symmetry_Int_Tables_number 160
_symmetry_space_group_name_Hall 'R 3 -2"'
loop_
_atom_site_label
_atom_site_type_symbol
_atom_site_fract_x
_atom_site_fract_y
_atom_site_fract_z
Pu1 Pu 0.0000 0.0000 0.0000
Zn1 Zn 0.0000 0.0000 0.2386
Zn2 Zn 0.0000 0.0000 0.4393
Zn3 Zn 0.0010 0.5005 0.1881
Zn4 Zn 0.0015 0.5008 0.4929
Zn5 Zn 0.0074 0.3082 0.3354
Zn6 Zn 0.0081 0.5040 0.8299
Cd1 Cd 0.0000 0.0000 0.7366
```

Result set for total moment: 4.70; 5.58; 5.64 μB/f.u., one per record in the order listed.
Result set for N(E_F): 1.8968; 1.8331; 0.7281 states/eV per atom, one per record in the order listed.